# 1
This record from Alexandria describes an optimized crystal structure of SrS6Br2. The functional is PBE.

Summary:
M_tot ... 0.0 Bohr magnetons per cell
Volume ... 300 Å³ per cell
Energy relative to the elements, uncorrected ... -0.6073 eV per atom
E ... -3.918 eV per atom

Cell: 4.526 8.327 8.340 Å, 107.44 91.48 91.50°
Atoms (fractional coordinates):
Sr 0.000 0.000 0.000
S 0.079 0.281 0.526
S 0.080 0.526 0.282
S 0.141 0.684 0.684
S 0.859 0.316 0.316
S 0.920 0.474 0.718
S 0.921 0.719 0.474
Br 0.500 0.149 0.851
Br 0.500 0.851 0.149



# 2
This record from Alexandria describes an optimized crystal structure of SrSBr3. The functional is PBE.

Summary:
M_tot ... 3.0 Bohr magnetons per cell
Volume ... 214 Å³ per cell
Energy relative to the elements, uncorrected ... -0.5300 eV per atom
E ... -2.696 eV per atom
Energy above the most stable polymorph in this dataset ... 0.614 eV per formula unit

Cell: 5.985 5.985 5.985 Å, 90.00 90.00 90.00°
Atoms (fractional coordinates):
Sr 0.000 0.000 0.000
S 0.500 0.500 0.500
Br 0.000 0.000 0.500
Br 0.000 0.500 0.000
Br 0.500 0.000 0.000



# 3
This record from Alexandria describes an optimized crystal structure of SrSBr3. The functional is PBE.

Summary:
M_tot ... 0.0 Bohr magnetons per cell
Volume ... 154 Å³ per cell
Energy relative to the elements, uncorrected ... -0.6527 eV per atom
E ... -2.818 eV per atom
Energy above the most stable polymorph in this dataset ... 0.000 eV per formula unit

Cell: 5.363 5.363 5.363 Å, 90.00 90.00 90.00°
Atoms (fractional coordinates):
Sr 0.000 0.000 0.000
S 0.500 0.500 0.500
Br 0.000 0.500 0.500
Br 0.500 0.000 0.500
Br 0.500 0.500 0.000



# 4
This record from Alexandria describes an optimized crystal structure of SrS2Br. The functional is PBE.

Summary:
M_tot ... 0.0 Bohr magnetons per cell
Volume ... 255 Å³ per cell
Energy relative to the elements, uncorrected ... -0.4045 eV per atom
E ... -3.307 eV per atom
Energy above the most stable polymorph in this dataset ... 3.001 eV per formula unit

Cell: 9.054 9.054 9.054 Å, 143.96 143.96 51.88°
Atoms (fractional coordinates):
Sr 0.000 0.000 0.000
Sr 0.750 0.250 0.500
S 0.171 0.625 0.046
S 0.375 0.421 0.546
S 0.579 0.125 0.954
S 0.875 0.829 0.454
Br 0.250 0.750 0.500
Br 0.500 0.500 0.000



# 5
This record from Alexandria describes an optimized crystal structure of SrTl2SBr. The functional is PBE.

Summary:
M_tot ... 0.0 Bohr magnetons per cell
Volume ... 203 Å³ per cell
Energy relative to the elements, uncorrected ... -0.2026 eV per atom
E ... -2.646 eV per atom

Cell: 5.892 5.892 5.850 Å, 90.00 90.00 90.00°
Atoms (fractional coordinates):
Sr 0.000 0.000 0.000
Tl 0.000 0.500 0.500
Tl 0.500 0.000 0.500
S 0.500 0.500 0.000
Br 0.000 0.000 0.500



# 6
This record from Alexandria describes an optimized crystal structure of SrTlSBr. The functional is PBE.

Summary:
M_tot ... 0.0 Bohr magnetons per cell
Volume ... 135 Å³ per cell
Energy relative to the elements, uncorrected ... -1.4776 eV per atom
E ... -3.940 eV per atom

Cell: 8.534 8.534 8.534 Å, 29.71 29.71 29.71°
Atoms (fractional coordinates):
Sr 0.000 0.000 0.000
Tl 0.804 0.804 0.804
S 0.397 0.397 0.397
Br 0.591 0.591 0.591



# 7
This record from Alexandria describes an optimized crystal structure of Sr2TlS2Br2. The functional is PBE.

Summary:
M_tot ... 0.0 Bohr magnetons per cell
Volume ... 226 Å³ per cell
Energy relative to the elements, uncorrected ... -1.3916 eV per atom
E ... -3.867 eV per atom

Cell: 8.847 8.847 8.847 Å, 145.09 145.09 50.20°
Atoms (fractional coordinates):
Sr 0.115 0.115 0.000
Sr 0.885 0.885 0.000
Tl 0.500 0.500 0.000
S 0.000 0.500 0.500
S 0.500 0.000 0.500
Br 0.302 0.302 0.000
Br 0.698 0.698 0.000



# 8
This record from Alexandria describes an optimized crystal structure of Ta4S8Br. The functional is PBE.

Summary:
M_tot ... 4.0 Bohr magnetons per cell
Volume ... 676 Å³ per cell
Energy relative to the elements, uncorrected ... -0.8965 eV per atom
E ... -7.212 eV per atom

Cell: 6.672 6.672 17.543 Å, 90.00 90.00 120.00°
Atoms (fractional coordinates):
Ta 0.000 0.000 0.250
Ta 0.000 0.000 0.750
Ta 0.001 0.501 0.250
Ta 0.499 0.501 0.250
Ta 0.499 0.999 0.250
Ta 0.501 0.001 0.750
Ta 0.501 0.499 0.750
Ta 0.999 0.499 0.750
S 0.166 0.333 0.161
S 0.166 0.333 0.339
S 0.166 0.834 0.161
S 0.166 0.834 0.339
S 0.333 0.166 0.661
S 0.333 0.166 0.839
S 0.333 0.667 0.661
S 0.333 0.667 0.839
S 0.667 0.333 0.161
S 0.667 0.333 0.339
S 0.667 0.834 0.161
S 0.667 0.834 0.339
S 0.834 0.166 0.661
S 0.834 0.166 0.839
S 0.834 0.667 0.661
S 0.834 0.667 0.839
Br 0.000 0.000 0.000
Br 0.000 0.000 0.500



- Which value of volume does entry 6 give?
  135 Å³ per cell